Record 1
5
Lattice="5.560 0.000 0.000 0.000 5.560 0.000 0.000 0.000 4.954" Properties=species:S:1:pos:R:3 comment="CuAgBi2Se, relaxed, DFT PBE-GGA" crystal_system=tetragonal total_magnetization_mub_per_cell=0.00 spacegroup="No. 123" raw_formation_energy_ev_per_atom=0.83 pbc="T T T"
Cu 0.000 0.000 0.000
Ag 2.780 2.780 2.477
Bi 0.000 2.780 2.477
Bi 2.780 0.000 2.477
Se 2.780 2.780 0.000



Record 2
5
Lattice="4.920 0.000 0.000 0.000 4.920 0.000 0.000 0.000 5.425" Properties=species:S:1:pos:R:3 comment="Cu2SiAgBi, relaxed, DFT PBE-GGA" crystal_system=tetragonal total_magnetization_mub_per_cell=0.00 spacegroup="No. 123" raw_formation_energy_ev_per_atom=1.13 pbc="T T T"
Cu 0.000 2.460 0.000
Cu 2.460 0.000 0.000
Si 0.000 0.000 2.713
Ag 2.460 2.460 2.713
Bi 2.460 2.460 0.000



Record 3
5
Lattice="5.209 0.000 0.000 0.000 5.209 0.000 0.000 0.000 4.831" Properties=species:S:1:pos:R:3 comment="CuSiAgBi2, relaxed, DFT PBE-GGA" crystal_system=tetragonal total_magnetization_mub_per_cell=0.00 spacegroup="No. 123" raw_formation_energy_ev_per_atom=0.70 pbc="T T T"
Cu 0.000 0.000 0.000
Si 2.605 2.605 2.416
Ag 0.000 0.000 2.416
Bi 0.000 2.605 0.000
Bi 2.605 0.000 0.000



Record 4
4
Lattice="0.000 3.549 3.549 3.549 0.000 3.549 3.549 3.549 0.000" Properties=species:S:1:pos:R:3 comment="CuAgSnBi, relaxed, DFT PBE-GGA" crystal_system=cubic total_magnetization_mub_per_cell=0.00 spacegroup="No. 216" e_form_ev_per_atom=0.204 pbc="T T T"
Cu 0.000 0.000 0.000
Ag 3.549 3.549 3.549
Sn 1.775 1.775 1.775
Bi 5.324 5.324 5.324



Record 5
5
Lattice="5.016 0.000 0.000 0.000 5.016 0.000 0.000 0.000 4.658" Properties=species:S:1:pos:R:3 comment="VCuAg2Bi, relaxed, DFT PBE-GGA" crystal_system=tetragonal total_magnetization_mub_per_cell=2.94 spacegroup="No. 123" e_form_ev_per_atom=1.020 pbc="T T T"
V 0.000 0.000 0.000
Cu 0.000 0.000 2.329
Ag 0.000 2.508 0.000
Ag 2.508 0.000 0.000
Bi 2.508 2.508 2.329



Record 6
12
Lattice="2.794 -10.320 0.000 2.794 10.320 0.000 0.000 0.000 6.421" Properties=species:S:1:pos:R:3 comment="Dy4AgBi, relaxed, DFT PBE-GGA" crystal_system=orthorhombic total_magnetization_mub_per_cell=0.00 spacegroup="No. 63" polymorph_energy_mev_per_atom=153 e_form_ev_per_atom=-0.189 pbc="T T T"
Dy 2.794 9.157 4.816
Dy 2.794 6.062 3.227
Dy 2.794 6.062 6.404
Dy 2.794 2.505 4.816
Dy 2.794 -2.505 1.605
Dy 2.794 -6.062 0.017
Dy 2.794 -6.062 3.194
Dy 2.794 -9.157 1.605
Ag 2.794 8.650 1.605
Ag 2.794 -8.650 4.816
Bi 2.794 3.065 1.605
Bi 2.794 -3.065 4.816



Record 7
18
Lattice="6.467 0.000 0.000 0.000 8.103 0.000 -6.424 0.000 10.296" Properties=species:S:1:pos:R:3 comment="Dy6AgBi2, relaxed, DFT PBE-GGA" crystal_system=monoclinic total_magnetization_mub_per_cell=0.00 spacegroup="No. 14" e_form_ev_per_atom=-0.360 pbc="T T T"
Dy -0.965 0.283 2.433
Dy -4.177 3.768 7.580
Dy 0.762 5.731 0.464
Dy -2.449 6.423 5.612
Dy 2.366 1.303 0.423
Dy -0.846 2.748 5.571
Dy 0.890 5.354 4.725
Dy -2.322 6.800 9.873
Dy 2.493 1.680 4.684
Dy -0.719 2.372 9.831
Dy 4.221 4.334 2.715
Dy 1.009 7.820 7.863
Ag 0.022 0.000 5.148
Ag 3.234 4.051 0.000
Bi -2.510 0.933 7.614
Bi 0.702 3.118 2.466
Bi -0.658 4.985 7.829
Bi 2.554 7.169 2.681



Record 8
13
Lattice="7.560 -4.093 0.000 7.560 4.093 0.000 -0.228 0.000 6.262" Properties=species:S:1:pos:R:3 comment="Dy8Ag3Bi2, relaxed, DFT PBE-GGA" crystal_system=monoclinic total_magnetization_mub_per_cell=0.00 spacegroup="No. 12" e_form_ev_per_atom=-0.197 pbc="T T T"
Dy 1.213 0.000 2.270
Dy 5.881 2.398 0.908
Dy 9.011 2.398 5.355
Dy 4.721 0.000 3.850
Dy 10.171 0.000 2.412
Dy 5.881 -2.398 0.908
Dy 9.011 -2.398 5.355
Dy 13.679 0.000 3.993
Ag 7.446 1.394 3.131
Ag 7.560 0.000 0.000
Ag 7.446 -1.394 3.131
Bi 3.889 0.000 0.699
Bi 11.003 0.000 5.564



Record 9
4
Lattice="5.087 0.000 0.000 0.000 5.087 0.000 0.000 0.000 4.082" Properties=species:S:1:pos:R:3 comment="Dy2AgBi, relaxed, DFT PBE-GGA" crystal_system=tetragonal total_magnetization_mub_per_cell=0.31 spacegroup="No. 123" e_form_ev_per_atom=-0.459 pbc="T T T"
Dy 0.000 2.543 0.000
Dy 2.543 0.000 0.000
Ag 0.000 0.000 2.041
Bi 2.543 2.543 2.041



Record 10
14
Lattice="7.375 0.000 0.000 0.000 6.478 0.000 -3.130 0.000 8.629" Properties=species:S:1:pos:R:3 comment="Dy4AgBi2, relaxed, DFT PBE-GGA" crystal_system=monoclinic total_magnetization_mub_per_cell=0.00 spacegroup="No. 11" e_form_ev_per_atom=-0.381 pbc="T T T"
Dy -0.452 0.011 1.950
Dy -0.452 3.228 1.950
Dy 2.740 1.620 1.320
Dy 1.539 1.620 4.775
Dy 2.706 4.859 3.854
Dy 1.505 4.859 7.310
Dy 4.697 3.250 6.680
Dy 4.697 6.467 6.680
Ag -0.298 1.620 7.018
Ag 4.543 4.859 1.612
Bi -0.374 4.859 4.793
Bi 1.865 4.859 0.508
Bi 2.380 1.620 8.122
Bi 4.619 1.620 3.836